Material: BaS6O2
Method: DFT, PBE
State: optimized geometry

DFT total energy: -80.487 eV per cell
space group: C2/c (15)
theoretical density: 2.1 g/cm3
V: 567.2 Å³ per cell
density of states at the Fermi level: 0.32 states/eV/atom

```
BaS6O2
1.0
6.236 -9.405 0.000
6.236 9.405 0.000
-1.590 0.000 4.835
Ba S O
2 12 4
Direct
0.189 0.811 0.750 Ba
0.811 0.189 0.250 Ba
0.056 0.217 0.775 S
0.107 0.475 0.508 S
0.155 0.412 0.834 S
0.217 0.056 0.275 S
0.412 0.155 0.334 S
0.475 0.107 0.008 S
0.525 0.893 0.992 S
0.588 0.845 0.666 S
0.783 0.944 0.725 S
0.845 0.588 0.166 S
0.893 0.525 0.492 S
0.944 0.783 0.225 S
0.169 0.716 0.205 O
0.284 0.831 0.295 O
0.716 0.169 0.705 O
0.831 0.284 0.795 O
```